# Tl3ZnBr

An optimized crystal structure of Tl3ZnBr (GGA-PBE, Alexandria via LeMat-Bulk).

## Properties
E above lowest polymorph, meV per atom: 276
Density of states at the Fermi level, states/eV per cell: 3.58

a = 6.1083 Å, b = 6.1083 Å, c = 6.1083 Å
α = 90.00°, β = 90.00°, γ = 90.00°
Closest atoms and distances in Å follow each position.
Space group Pm-3m (No. 221)
One atom of each set of equivalent atoms:
1 Tl 0.0000 0.0000 0.5000 (multiplicity 3)  2 Br 3.05
2 Zn 0.5000 0.5000 0.5000 (multiplicity 1)  12 Tl 4.32
3 Br 0.0000 0.0000 0.0000 (multiplicity 1)  6 Tl 3.05